Density functional theory data (PBE-GGA) for a relaxed structure of TbNp2PaN4.

Unit cell a=6.017 b=3.472 c=6.030 alpha=90.00 beta=109.49 gamma=90.00
Sites, in units of the cell vectors:
Tb1 0.000 0.000 0.000
Np1 0.000 0.500 0.500
Np2 0.500 0.000 0.500
Pa1 0.500 0.500 0.000
N1 0.254 0.000 0.752
N2 0.258 0.500 0.257
N3 0.742 0.500 0.743
N4 0.746 0.000 0.248

Summary:
DFT total energy: -10.523 eV/atom
M_tot: 6.91 μB per cell

***

Density functional theory data (PBE-GGA) for a relaxed structure of TbNpPa2N6.

Unit cell a=6.010 b=6.010 c=6.010 alpha=59.54 beta=59.54 gamma=59.54
Sites, in units of the cell vectors:
Tb1 0.000 0.000 0.000
Np1 0.488 0.488 0.488
Pa1 0.269 0.269 0.269
Pa2 0.773 0.773 0.773
N1 0.100 0.649 0.399
N2 0.173 0.582 0.873
N3 0.399 0.100 0.649
N4 0.582 0.873 0.173
N5 0.649 0.399 0.100
N6 0.873 0.173 0.582

Summary:
DFT total energy: -10.068 eV/atom
M_tot: 2.00 μB per cell

***

Density functional theory data (PBE-GGA) for a relaxed structure of Np2PaTcN4.

Unit cell a=6.039 b=6.039 c=11.549 alpha=90.00 beta=90.00 gamma=148.09
Sites, in units of the cell vectors:
Np1 0.132 0.868 0.553
Np2 0.132 0.868 0.947
Np3 0.868 0.132 0.053
Np4 0.868 0.132 0.447
Pa1 0.388 0.612 0.750
Pa2 0.612 0.388 0.250
Tc1 0.353 0.647 0.250
Tc2 0.647 0.353 0.750
N1 0.034 0.966 0.750
N2 0.220 0.780 0.127
N3 0.220 0.780 0.373
N4 0.500 0.500 0.000
N5 0.500 0.500 0.500
N6 0.780 0.220 0.627
N7 0.780 0.220 0.873
N8 0.966 0.034 0.250

Summary:
DFT total energy: -10.844 eV/atom
M_tot: 11.08 μB per cell

***

Density functional theory data (PBE-GGA) for a relaxed structure of NpPa2TcN4.

Unit cell a=6.140 b=6.140 c=11.685 alpha=90.00 beta=90.00 gamma=148.54
Sites, in units of the cell vectors:
Np1 0.109 0.891 0.750
Np2 0.891 0.109 0.250
Pa1 0.368 0.632 0.554
Pa2 0.368 0.632 0.946
Pa3 0.632 0.368 0.054
Pa4 0.632 0.368 0.446
Tc1 0.153 0.847 0.250
Tc2 0.847 0.153 0.750
N1 0.000 0.000 0.000
N2 0.000 0.000 0.500
N3 0.279 0.721 0.123
N4 0.279 0.721 0.377
N5 0.463 0.537 0.750
N6 0.537 0.463 0.250
N7 0.721 0.279 0.623
N8 0.721 0.279 0.877

Summary:
DFT total energy: -10.544 eV/atom
M_tot: 6.33 μB per cell